Record 1
The following is a DFT calculation (PBE-GGA) of crystalline ReHgBRuS at its relaxed geometry.

The structure belongs to space group P1 (No. 1); the cell edges are 3.7212, 3.9283 and 8.2060 Å and the angles 103.32°, 102.97° and 90.00°. The distinct sites, in fractional coordinates, are Re at (0.0000, 0.0000, 0.0000), Hg at (0.7932, 0.2962, 0.5840), B at (0.9427, 0.4442, 0.8841), Ru at (0.5062, 0.5060, 0.0124) and S at (0.5909, 0.0883, 0.1837).

As for the energy above the most stable polymorph in this dataset: 0.1075 eV per atom. Its formation energy from raw total energies is 0.210 eV per atom. The spin magnetization comes out at 0.00 Bohr magnetons per cell.


Record 2
The following is a DFT calculation (PBE-GGA) of crystalline ReHgBRuS at its relaxed geometry.

The structure belongs to space group Pm (No. 6); the cell edges are 3.7029, 3.9246 and 7.6009 Å and the angles 90.00°, 93.17° and 90.00°. The distinct sites, in fractional coordinates, are Re at (0.0000, 0.0000, 0.0000), Hg at (0.0578, 0.5000, 0.4316), B at (0.0132, 0.5000, 0.1180), Ru at (0.4986, 0.5000, 0.9878) and S at (0.4783, 0.0000, 0.8086).

As for the energy above the most stable polymorph in this dataset: 0.1105 eV per atom. Its formation energy from raw total energies is 0.213 eV per atom. The spin magnetization comes out at 0.00 Bohr magnetons per cell.


Record 3
The following is a DFT calculation (PBE-GGA) of crystalline ReHgBRuS at its relaxed geometry.

The structure belongs to space group P1 (No. 1); the cell edges are 3.2447, 4.3377 and 6.5827 Å and the angles 108.94°, 90.40° and 90.00°. The distinct sites, in fractional coordinates, are Re at (0.0000, 0.0000, 0.0000), Hg at (0.9816, 0.2237, 0.4382), B at (0.0005, 0.5385, 0.0772), Ru at (0.4980, 0.4357, 0.8696) and S at (0.4965, 0.8676, 0.7316).

As for the energy above the most stable polymorph in this dataset: 0.0263 eV per atom. Its formation energy from raw total energies is 0.128 eV per atom. The spin magnetization comes out at 0.00 Bohr magnetons per cell.


Record 4
The following is a DFT calculation (PBE-GGA) of crystalline ReHg2BSb at its relaxed geometry.

The structure belongs to space group P4/mmm (No. 123); the cell edges are 5.6218, 5.6218 and 4.3518 Å and the angles 90.00°, 90.00° and 90.00°. The distinct sites, in fractional coordinates, are Re at (0.0000, 0.0000, 0.0000), Hg at (0.0000, 0.5000, 0.5000), B at (0.5000, 0.5000, 0.0000) and Sb at (0.5000, 0.5000, 0.5000).

Its formation energy from raw total energies is 2.054 eV per atom. The spin magnetization comes out at 4.23 Bohr magnetons per cell.


Record 5
The following is a DFT calculation (PBE-GGA) of crystalline TlRe2HgB at its relaxed geometry.

The structure belongs to space group P4/mmm (No. 123); the cell edges are 5.2887, 5.2887 and 4.0445 Å and the angles 90.00°, 90.00° and 90.00°. The distinct sites, in fractional coordinates, are Tl at (0.0000, 0.0000, 0.0000), Re at (0.0000, 0.5000, 0.0000), Hg at (0.5000, 0.5000, 0.5000) and B at (0.0000, 0.0000, 0.5000).

Its total energy is -3.9618 eV per atom. The spin magnetization comes out at 5.80 Bohr magnetons per cell.


Record 6
The following is a DFT calculation (PBE-GGA) of crystalline Zn2ReHgB at its relaxed geometry.

The structure belongs to space group P4/mmm (No. 123); the cell edges are 5.0004, 5.0004 and 4.0716 Å and the angles 90.00°, 90.00° and 90.00°. The distinct sites, in fractional coordinates, are Zn at (0.0000, 0.5000, 0.0000), Re at (0.0000, 0.0000, 0.0000), Hg at (0.5000, 0.5000, 0.5000) and B at (0.0000, 0.0000, 0.5000).

Its total energy is -3.4775 eV per atom. The spin magnetization comes out at 0.95 Bohr magnetons per cell.